This record from Alexandria via LeMat-Bulk describes a relaxed CdAs2PBr crystal. The functional is PBEsol.

Values from the calculation:
DOS at the Fermi energy = 1.06 states/eV per atom
ΔE_f (raw) = 0.528 eV per atom

Cell lengths 4.8154, 4.8154, 4.9780 Å; angles 90.00, 90.00, 90.00 degrees
Closest atoms and distances in Å follow each position.
Sites, in units of the cell vectors:
As  0.5000  0.0000  0.0000  2 P 2.41
Br  0.0000  0.0000  0.5000  2 P 2.49
Cd  0.5000  0.5000  0.5000  4 Br 3.40, 8 As 3.46
P  0.0000  0.0000  0.0000  4 As 2.41, 2 Br 2.49
As  0.0000  0.5000  0.0000  2 P 2.41

=====

This record from Alexandria via LeMat-Bulk describes a relaxed Mg2Sc3VS8 crystal. The functional is PBEsol.

Values from the calculation:
DOS at the Fermi energy = 0.44 states/eV per atom
ΔE_f (raw) = -1.589 eV per atom

Cell lengths 7.3617, 7.3617, 7.3617 Å; angles 60.70, 60.70, 60.70 degrees
Closest atoms and distances in Å follow each position.
Sites, in units of the cell vectors:
Sc  0.0000  0.5000  0.5000  6 S 2.54-2.56
S  0.7337  0.2773  0.7337  1 Mg 2.44, 1 V 2.45, 2 Sc 2.56
Mg  0.1241  0.1241  0.1241  4 S 2.40-2.44
S  0.7227  0.2663  0.2663  1 Mg 2.44, 1 V 2.45, 2 Sc 2.56
S  0.2663  0.2663  0.7227  1 Mg 2.44, 1 V 2.45, 2 Sc 2.56
Mg  0.8759  0.8759  0.8759  4 S 2.40-2.44
Sc  0.5000  0.0000  0.5000  6 S 2.54-2.56
S  0.2773  0.7337  0.7337  1 Mg 2.44, 1 V 2.45, 2 Sc 2.56
S  0.7420  0.7420  0.7420  1 Mg 2.40, 3 Sc 2.54
V  0.5000  0.5000  0.5000  6 S 2.45
Sc  0.5000  0.5000  0.0000  6 S 2.54-2.56
S  0.7337  0.7337  0.2773  1 Mg 2.44, 1 V 2.45, 2 Sc 2.56
S  0.2663  0.7227  0.2663  1 Mg 2.44, 1 V 2.45, 2 Sc 2.56
S  0.2580  0.2580  0.2580  1 Mg 2.40, 3 Sc 2.54

=====

This record from Alexandria via LeMat-Bulk describes a relaxed KAu2S2 crystal. The functional is PBEsol.

Values from the calculation:
DOS at the Fermi energy = 0.13 states/eV per atom
ΔE_f (raw) = -0.245 eV per atom

Cell lengths 4.9188, 4.9188, 6.3788 Å; angles 112.68, 112.68, 90.00 degrees
Closest atoms and distances in Å follow each position.
Sites, in units of the cell vectors:
K  0.0000  0.0000  0.0000  2 Au 3.08
Au  0.2884  0.2884  0.5768  4 S 2.49
Au  0.7116  0.7116  0.4232  4 S 2.49
S  0.7500  0.2500  0.5000  4 Au 2.49
S  0.2500  0.7500  0.5000  4 Au 2.49

=====

This record from Alexandria via LeMat-Bulk describes a relaxed TaCu2W crystal. The functional is PBEsol.

Values from the calculation:
ΔE_f = 0.238 eV per atom
DOS at the Fermi energy = 0.53 states/eV per atom

Cell lengths 2.6971, 3.7656, 5.6090 Å; angles 90.00, 90.00, 90.00 degrees
Closest atoms and distances in Å follow each position.
Sites, in units of the cell vectors:
Cu  0.0000  0.0000  0.0130  6 Cu 2.62-2.70, 1 Ta 2.67, 4 W 2.69
Cu  0.5000  0.5000  0.2301  1 W 2.59, 6 Cu 2.62-2.70, 4 Ta 2.73
W  0.5000  0.5000  0.7679  5 Cu 2.59-2.69, 2 W 2.70, 4 Ta 2.80
Ta  0.0000  0.0000  0.4889  6 Cu 2.67-2.94, 2 Ta 2.70, 4 W 2.80

=====

This record from Alexandria via LeMat-Bulk describes a relaxed La5Y crystal. The functional is PBEsol.

Values from the calculation:
polymorph energy (0 for the lowest one) = 2.6 kJ per mole of atoms
ΔE_f = 0.040 eV per atom
DOS at the Fermi energy = 1.71 states/eV per atom

Cell lengths 5.8849, 6.3098, 6.3098 Å; angles 120.00, 90.00, 90.00 degrees
Closest atoms and distances in Å follow each position.
Sites, in units of the cell vectors:
La  0.0000  0.6656  0.0000  10 La 3.61-3.65, 2 Y 3.62
La  0.5000  0.6667  0.3333  9 La 3.61-3.64, 3 Y 3.64
Y  0.5000  0.0000  0.0000  12 La 3.62-3.64
La  0.5000  0.3333  0.6667  9 La 3.61-3.64, 3 Y 3.64
La  0.0000  0.3344  0.3344  10 La 3.61-3.65, 2 Y 3.62
La  0.0000  0.0000  0.6656  10 La 3.61-3.65, 2 Y 3.62

=====

This record from Alexandria via LeMat-Bulk describes a relaxed AlSi2Ir crystal. The functional is PBEsol.

Values from the calculation:
DOS at the Fermi energy = 0.14 states/eV per atom
ΔE_f (raw) = -0.102 eV per atom

Cell lengths 4.2849, 4.2849, 4.2849 Å; angles 60.00, 60.00, 60.00 degrees
Closest atoms and distances in Å follow each position.
Sites, in units of the cell vectors:
Si  0.0000  0.0000  0.0000  4 Si 2.62, 4 Ir 2.62
Al  0.5000  0.5000  0.5000  4 Ir 2.62, 4 Si 2.62
Ir  0.2500  0.2500  0.2500  4 Si 2.62, 4 Al 2.62
Si  0.7500  0.7500  0.7500  4 Al 2.62, 4 Si 2.62

=====

This record from Alexandria via LeMat-Bulk describes a relaxed CaZn2Si2 crystal. The functional is PBEsol.

Values from the calculation:
DOS at the Fermi energy = 0.19 states/eV per atom
ΔE_f (raw) = -0.329 eV per atom

Cell lengths 4.1765, 4.1765, 5.8312 Å; angles 110.98, 110.98, 90.00 degrees
Closest atoms and distances in Å follow each position.
Sites, in units of the cell vectors:
Si  0.3841  0.3841  0.7683  1 Si 2.33, 4 Zn 2.49
Zn  0.7500  0.2500  0.5000  4 Si 2.49
Zn  0.2500  0.7500  0.5000  4 Si 2.49
Ca  0.0000  0.0000  0.0000  8 Si 3.17, 8 Zn 3.27
Si  0.6159  0.6159  0.2317  1 Si 2.33, 4 Zn 2.49

=====

This record from Alexandria via LeMat-Bulk describes a relaxed ZnCr2Au crystal. The functional is PBEsol.

Values from the calculation:
ΔE_f = 0.110 eV per atom
DOS at the Fermi energy = 0.61 states/eV per atom

Cell lengths 3.0376, 3.0376, 5.8770 Å; angles 90.00, 90.00, 90.00 degrees
Closest atoms and distances in Å follow each position.
Sites, in units of the cell vectors:
Zn  0.0000  0.0000  0.4865  5 Cr 2.59-2.65, 4 Au 2.63
Au  0.5000  0.5000  0.7456  4 Zn 2.63, 5 Cr 2.78-2.80
Cr  0.5000  0.5000  0.2225  4 Cr 2.39, 4 Zn 2.65
Cr  0.0000  0.0000  0.0454  4 Cr 2.39, 1 Zn 2.59

=====

This record from Alexandria via LeMat-Bulk describes a relaxed Li2TiAs crystal. The functional is PBEsol.

Values from the calculation:
ΔE_f = -0.265 eV per atom
DOS at the Fermi energy = 0.43 states/eV per atom

Cell lengths 3.6056, 3.6056, 10.3274 Å; angles 100.05, 100.05, 90.00 degrees
Closest atoms and distances in Å follow each position.
Sites, in units of the cell vectors:
Li  0.1250  0.6464  0.7500  4 Li 2.44-2.66
Li  0.3536  0.3750  0.2500  4 Li 2.44-2.66
Ti  0.7500  0.2500  0.5000  4 As 2.55, 4 Li 2.83
Li  0.8964  0.8750  0.2500  4 Li 2.44-2.66
As  0.0000  0.0000  0.0000  4 Ti 2.55, 4 Li 2.78
Ti  0.5000  0.5000  0.0000  4 As 2.55, 4 Li 2.83
Li  0.6250  0.1036  0.7500  4 Li 2.44-2.66
As  0.2500  0.7500  0.5000  4 Ti 2.55, 4 Li 2.78

=====

This record from Alexandria via LeMat-Bulk describes a relaxed MgAg3 crystal. The functional is PBEsol.

Values from the calculation:
polymorph energy (0 for the lowest one) = 10.1 kJ per mole of atoms
ΔE_f = -0.071 eV per atom
DOS at the Fermi energy = 0.45 states/eV per atom

Cell lengths 5.1908, 5.1908, 5.1908 Å; angles 90.00, 90.00, 90.00 degrees
Closest atoms and distances in Å follow each position.
Sites, in units of the cell vectors:
Mg  0.5000  0.5000  0.5000  12 Ag 2.90
Mg  0.0000  0.0000  0.0000  12 Ag 2.90
Ag  0.2500  0.5000  0.0000  2 Ag 2.60, 4 Mg 2.90
Ag  0.5000  0.0000  0.7500  2 Ag 2.60, 4 Mg 2.90
Ag  0.0000  0.7500  0.5000  2 Ag 2.60, 4 Mg 2.90
Ag  0.0000  0.2500  0.5000  2 Ag 2.60, 4 Mg 2.90
Ag  0.5000  0.0000  0.2500  2 Ag 2.60, 4 Mg 2.90
Ag  0.7500  0.5000  0.0000  2 Ag 2.60, 4 Mg 2.90